Entry 1:
VASP calculation (PBE) on a relaxed Cs3Cu5I12 crystal.

Structure (POSCAR):
```
Cs3Cu5I12
1.0
-7.017 -13.969 3.461
14.720 0.282 6.293
-8.659 11.988 6.137
Cs Cu I
12 20 48
Direct
0.750 0.375 0.125
0.875 0.750 0.125
0.375 0.750 0.625
0.250 0.125 0.375
0.875 0.125 0.250
0.375 0.625 0.250
0.625 0.375 0.750
0.125 0.875 0.750
0.750 0.875 0.625
0.625 0.250 0.375
0.125 0.250 0.875
0.250 0.625 0.875
0.125 0.375 0.250
0.000 0.500 0.000
0.000 0.000 0.000
0.375 0.250 0.125
0.500 0.000 0.500
0.500 0.500 0.000
0.125 0.750 0.375
0.750 0.125 0.875
0.750 0.625 0.375
0.375 0.125 0.750
0.625 0.875 0.250
0.500 0.500 0.500
0.500 0.000 0.000
0.000 0.000 0.500
0.250 0.375 0.625
0.250 0.875 0.125
0.000 0.500 0.500
0.875 0.250 0.625
0.625 0.750 0.875
0.875 0.625 0.750
0.686 0.102 0.001
0.315 0.501 0.399
0.999 0.398 0.314
0.501 0.186 0.102
0.583 0.686 0.685
0.999 0.601 0.185
0.315 0.814 0.417
0.101 0.917 0.102
0.601 0.999 0.685
0.686 0.583 0.185
0.814 0.499 0.398
0.815 0.899 0.001
0.102 0.686 0.501
0.398 0.399 0.083
0.083 0.899 0.398
0.417 0.102 0.601
0.083 0.185 0.186
0.499 0.685 0.101
0.815 0.917 0.314
0.102 0.417 0.101
0.398 0.999 0.814
0.601 0.602 0.417
0.899 0.815 0.501
0.814 0.315 0.917
0.399 0.398 0.583
0.101 0.185 0.499
0.186 0.685 0.083
0.185 0.083 0.686
0.602 0.001 0.186
0.898 0.583 0.899
0.501 0.315 0.899
0.583 0.898 0.399
0.917 0.815 0.814
0.917 0.101 0.602
0.898 0.314 0.499
0.185 0.101 0.999
0.602 0.601 0.917
0.399 0.001 0.315
0.314 0.417 0.815
0.186 0.501 0.602
0.899 0.083 0.898
0.685 0.186 0.583
0.499 0.814 0.898
0.001 0.399 0.815
0.417 0.314 0.315
0.001 0.602 0.686
0.685 0.499 0.601
0.314 0.898 0.999
```

Energy relative to the elements, uncorrected, eV per atom: -0.47

=====

Entry 2:
VASP calculation (PBE) on a relaxed Cs2CuI4 crystal.

Structure (POSCAR):
```
Cs2CuI4
1.0
-4.123 -5.360 4.572
6.001 -4.357 0.304
5.086 7.498 7.055
Cs Cu I
4 2 8
Direct
0.711 0.750 0.037
0.289 0.250 0.963
0.175 0.250 0.411
0.825 0.750 0.589
0.299 0.750 0.213
0.701 0.250 0.787
0.522 0.491 0.285
0.167 0.750 0.974
0.833 0.250 0.026
0.522 0.009 0.285
0.920 0.250 0.660
0.478 0.991 0.715
0.478 0.509 0.715
0.080 0.750 0.340
```

Energy relative to the elements, uncorrected, eV per atom: -0.94
Energy above the most stable polymorph in this dataset, eV per atom: 0.000

=====

Entry 3:
VASP calculation (PBE) on a relaxed Cs3CuI6 crystal.

Structure (POSCAR):
```
Cs3CuI6
1.0
-5.033 -3.049 -0.139
2.472 -3.519 -12.293
5.138 -8.850 8.055
Cs Cu I
6 2 12
Direct
0.650 0.924 0.720
0.150 0.720 0.924
0.147 0.403 0.597
0.647 0.597 0.403
0.150 0.076 0.280
0.650 0.280 0.076
0.082 0.203 0.797
0.582 0.797 0.203
0.148 0.732 0.597
0.648 0.597 0.732
0.166 0.399 0.922
0.666 0.922 0.399
0.158 0.079 0.921
0.672 0.246 0.754
0.172 0.754 0.246
0.658 0.921 0.079
0.166 0.078 0.601
0.666 0.601 0.078
0.148 0.403 0.268
0.648 0.268 0.403
```

Energy relative to the elements, uncorrected, eV per atom: -0.89

=====

Entry 4:
VASP calculation (PBE) on a relaxed CsCuI2 crystal.

Structure (POSCAR):
```
CsCuI2
1.0
8.077 0.000 0.000
-4.039 9.995 0.000
0.000 0.000 9.207
Cs Cu I
4 4 8
Direct
0.133 0.265 0.546
0.867 0.735 0.454
0.367 0.735 0.046
0.633 0.265 0.954
0.421 0.842 0.634
0.579 0.158 0.366
0.079 0.158 0.134
0.921 0.842 0.866
0.175 0.350 0.962
0.825 0.650 0.038
0.325 0.650 0.462
0.675 0.350 0.538
0.231 0.961 0.750
0.269 0.039 0.250
0.769 0.039 0.250
0.731 0.961 0.750
```

Energy relative to the elements, uncorrected, eV per atom: -0.83
Energy above the most stable polymorph in this dataset, eV per atom: 0.000

=====

Entry 5:
VASP calculation (PBE) on a relaxed Cs2Cu3I5 crystal.

Structure (POSCAR):
```
Cs2Cu3I5
1.0
-5.904 -4.367 1.167
3.381 -8.946 7.686
-1.954 -0.554 12.100
Cs Cu I
4 6 10
Direct
0.145 0.595 0.119
0.645 0.119 0.595
0.855 0.405 0.881
0.355 0.881 0.405
0.428 0.449 0.692
0.928 0.692 0.449
0.572 0.551 0.308
0.072 0.308 0.551
0.250 0.000 0.000
0.750 0.000 0.000
0.440 0.194 0.924
0.940 0.924 0.194
0.560 0.806 0.076
0.060 0.076 0.806
0.803 0.791 0.595
0.197 0.209 0.405
0.750 0.500 0.500
0.250 0.500 0.500
0.697 0.405 0.209
0.303 0.595 0.791
```

Energy relative to the elements, uncorrected, eV per atom: -0.66

=====

Entry 6:
VASP calculation (PBE) on a relaxed Cs3InCu2I6 crystal.

Structure (POSCAR):
```
Cs3InCu2I6
1.0
8.885 0.000 0.000
-4.443 7.695 0.000
0.000 0.000 10.106
Cs In Cu I
3 1 2 6
Direct
0.333 0.667 0.634
0.667 0.333 0.366
0.000 0.000 0.000
0.000 0.000 0.500
0.667 0.333 0.731
0.333 0.667 0.269
0.661 0.830 0.284
0.170 0.339 0.284
0.170 0.830 0.284
0.830 0.661 0.716
0.339 0.170 0.716
0.830 0.170 0.716
```

Energy relative to the elements, uncorrected, eV per atom: -0.85

=====

Entry 7:
VASP calculation (PBE) on a relaxed Cs2InCu2I6 crystal.

Structure (POSCAR):
```
Cs2InCu2I6
1.0
-3.515 3.576 -6.864
6.191 -5.954 -1.010
-7.735 -2.849 2.477
Cs In Cu I
2 1 2 6
Direct
0.738 0.475 0.226
0.262 0.525 0.774
0.500 0.000 0.500
0.944 0.888 0.820
0.056 0.112 0.180
0.749 0.498 0.701
0.216 0.938 0.211
0.278 0.062 0.789
0.784 0.062 0.789
0.722 0.938 0.211
0.251 0.502 0.299
```

Energy relative to the elements, uncorrected, eV per atom: -0.72

=====

Entry 8:
VASP calculation (PBE) on a relaxed CsIn2CuI8 crystal.

Structure (POSCAR):
```
CsIn2CuI8
1.0
-0.247 -5.358 -5.434
1.491 -1.959 7.228
-10.461 -1.338 1.796
Cs In Cu I
1 2 1 8
Direct
0.000 0.000 0.000
0.667 0.333 0.264
0.333 0.667 0.736
0.000 0.000 0.500
0.333 0.667 0.995
0.303 0.303 0.340
0.697 0.000 0.340
0.667 0.333 0.005
0.303 0.000 0.660
0.697 0.697 0.660
0.000 0.303 0.660
0.000 0.697 0.340
```

Energy relative to the elements, uncorrected, eV per atom: -0.60